PBEsol Mg2CoTc, optimized geometry; DOS at the Fermi energy = 3.30 states/eV/cell; formation enthalpy at 0 K = 33 kJ per mole of atoms; energy = -0.193 hartree per atom
1.0
-0.153 1.744 -1.927
0.878 -3.120 -2.893
-4.966 -1.717 0.346
Co Mg Tc
1 2 1
direct
0.000 0.500 0.500
0.206 0.000 0.254
0.794 0.000 0.746
0.500 0.500 0.000


PBEsol MgCoTc2, optimized geometry; DOS at the Fermi energy = 4.19 states/eV/cell; formation enthalpy at 0 K = 21 kJ per mole of atoms; energy = -0.286 hartree per atom
1.0
4.238 0.000 0.000
2.119 3.670 0.000
2.119 1.223 3.460
Mg Tc Co
1 2 1
direct
0.250 0.250 0.250
0.750 0.750 0.750
0.000 0.000 0.000
0.500 0.500 0.500


PBEsol Mg2CoTc, optimized geometry; DOS at the Fermi energy = 3.16 states/eV/cell; formation enthalpy at 0 K = 34 kJ per mole of atoms; energy = -0.193 hartree per atom
1.0
2.591 0.000 0.000
0.000 5.014 -0.030
0.000 -2.097 4.555
Mg Co Tc
2 1 1
direct
0.000 0.000 0.500
0.000 0.500 0.000
0.500 0.500 0.500
0.500 0.000 0.000


PBEsol MgCoTc2, optimized geometry; DOS at the Fermi energy = 3.06 states/eV/cell; formation enthalpy at 0 K = 29 kJ per mole of atoms; energy = -0.283 hartree per atom
1.0
2.638 0.000 0.000
0.000 4.084 0.000
0.000 0.000 5.019
Tc Co Mg
2 1 1
direct
0.000 0.000 0.761
0.000 0.000 0.239
0.500 0.500 0.000
0.500 0.500 0.500


PBEsol MgCoTe2, optimized geometry; DOS at the Fermi energy = 2.69 states/eV/cell; formation energy (no corrections) = 64 kJ/mol of formula units; energy = -0.146 hartree per atom
1.0
3.258 0.000 0.000
0.000 4.916 0.000
0.000 0.000 4.916
Te Co Mg
2 1 1
direct
0.000 0.500 0.500
0.000 0.000 0.000
0.500 0.500 0.000
0.500 0.000 0.500


PBEsol Mg2TlCo, optimized geometry; DOS at the Fermi energy = 2.72 states/eV/cell; formation enthalpy at 0 K = 22 kJ per mole of atoms; energy = -0.118 hartree per atom
1.0
4.640 0.000 0.000
2.320 4.019 0.000
2.320 1.340 3.789
Mg Tl Co
2 1 1
direct
0.250 0.250 0.250
0.750 0.750 0.750
0.500 0.500 0.500
0.000 0.000 0.000


PBEsol MgTlCo, optimized geometry; DOS at the Fermi energy = 3.85 states/eV/cell; formation enthalpy at 0 K = 58 kJ per mole of atoms; energy = -0.126 hartree per atom
1.0
4.397 0.000 0.000
2.199 3.808 0.000
2.199 1.269 3.590
Mg Co Tl
1 1 1
direct
0.500 0.500 0.500
0.000 0.000 0.000
0.250 0.250 0.250


PBEsol Mg2TlCo, optimized geometry; DOS at the Fermi energy = 2.80 states/eV/cell; formation enthalpy at 0 K = 16 kJ per mole of atoms; energy = -0.121 hartree per atom
1.0
-3.878 -1.063 0.584
0.777 -3.680 -1.536
2.502 0.987 4.276
Tl Mg Co
1 2 1
direct
0.500 0.500 0.000
0.750 0.250 0.500
0.000 0.000 0.000
0.250 0.750 0.500


PBEsol MgTlCo2, optimized geometry; DOS at the Fermi energy = 5.11 states/eV/cell; formation enthalpy at 0 K = 35 kJ per mole of atoms; energy = -0.169 hartree per atom
1.0
3.110 0.000 0.000
0.000 3.110 0.000
0.000 0.000 5.952
Co Tl Mg
2 1 1
direct
0.000 0.000 0.755
0.000 0.000 0.245
0.500 0.500 0.500
0.500 0.500 0.000


PBEsol Mg2TlCo, optimized geometry; DOS at the Fermi energy = 3.57 states/eV/cell; formation enthalpy at 0 K = 30 kJ per mole of atoms; energy = -0.115 hartree per atom
1.0
3.132 0.000 0.000
1.566 2.712 0.000
1.566 0.904 9.124
Tl Mg Co
1 2 1
direct
0.511 0.511 0.466
0.751 0.751 0.748
0.987 0.987 0.039
0.251 0.251 0.246


PBEsol MgTl2Co, optimized geometry; DOS at the Fermi energy = 4.14 states/eV/cell; formation enthalpy at 0 K = 36 kJ per mole of atoms; energy = -0.121 hartree per atom
1.0
3.991 0.000 0.000
0.000 4.388 0.000
0.000 0.000 4.388
Tl Mg Co
2 1 1
direct
0.000 0.500 0.000
0.000 0.000 0.500
0.500 0.000 0.000
0.500 0.500 0.500


PBEsol Tm4MgCo, optimized geometry; DOS at the Fermi energy = 24.73 states/eV/cell; formation enthalpy at 0 K = -15 kJ per mole of atoms; energy = -0.184 hartree per atom
1.0
-3.224 -8.698 -0.605
0.034 -4.411 -8.183
5.884 -7.047 -1.457
Co Tm Mg
4 16 4
direct
0.109 0.109 0.109
0.109 0.109 0.672
0.109 0.672 0.109
0.672 0.109 0.109
0.688 0.312 0.312
0.688 0.312 0.688
0.906 0.281 0.906
0.688 0.688 0.312
0.312 0.312 0.688
0.312 0.688 0.688
0.312 0.688 0.312
0.906 0.906 0.906
0.281 0.906 0.906
0.436 0.064 0.064
0.064 0.064 0.436
0.064 0.436 0.436
0.436 0.436 0.064
0.436 0.064 0.436
0.906 0.906 0.281
0.064 0.436 0.064
0.670 0.989 0.670
0.670 0.670 0.670
0.989 0.670 0.670
0.670 0.670 0.989


PBEsol Mg2CoW2, optimized geometry; DOS at the Fermi energy = 4.54 states/eV/cell; formation enthalpy at 0 K = 116 kJ per mole of atoms; energy = -0.241 hartree per atom
1.0
-1.758 -0.671 -2.906
-1.159 -2.954 1.383
-4.093 5.196 3.339
Mg Co W
2 1 2
direct
0.750 0.250 0.500
0.250 0.750 0.500
0.000 0.000 0.000
0.417 0.417 0.835
0.583 0.583 0.165


PBEsol YMgCo2, optimized geometry; DOS at the Fermi energy = 5.31 states/eV/cell; formation enthalpy at 0 K = 32 kJ per mole of atoms; energy = -0.208 hartree per atom
1.0
4.506 0.000 0.000
2.253 3.902 0.000
2.253 1.301 3.679
Co Mg Y
2 1 1
direct
0.250 0.250 0.250
0.000 0.000 0.000
0.500 0.500 0.500
0.750 0.750 0.750


PBEsol YMgCo, optimized geometry; DOS at the Fermi energy = 2.10 states/eV/cell; formation enthalpy at 0 K = 69 kJ per mole of atoms; energy = -0.173 hartree per atom
1.0
-0.294 -0.046 4.476
0.330 -3.879 2.230
3.639 -0.860 2.478
Co Mg Y
1 1 1
direct
0.500 0.500 0.500
0.250 0.250 0.250
0.000 0.000 0.000


PBEsol YMgCo2, optimized geometry; DOS at the Fermi energy = 4.14 states/eV/cell; formation enthalpy at 0 K = 11 kJ per mole of atoms; energy = -0.217 hartree per atom
1.0
-0.791 1.439 -3.602
-0.851 -3.092 -3.224
-5.017 -0.381 -1.225
Y Mg Co
1 1 2
direct
0.000 0.500 0.500
0.500 0.000 0.000
0.222 0.631 0.924
0.778 0.369 0.076


PBEsol Y2MgCo, optimized geometry; DOS at the Fermi energy = 3.20 states/eV/cell; formation enthalpy at 0 K = -12 kJ per mole of atoms; energy = -0.217 hartree per atom
1.0
-0.261 2.509 -2.191
-3.271 0.222 0.645
1.522 5.305 5.893
Co Y Mg
1 2 1
direct
0.500 0.500 0.000
0.000 0.000 0.198
0.000 0.000 0.802
0.500 0.500 0.500


PBEsol MgZn3Co, optimized geometry; DOS at the Fermi energy = 7.54 states/eV/cell; formation enthalpy at 0 K = 129 kJ per mole of atoms; energy = -0.055 hartree per atom
1.0
-0.421 -3.219 3.411
4.504 0.678 1.196
-1.308 3.369 3.018
Zn Mg Co
3 1 1
direct
0.000 0.000 0.500
0.000 0.500 0.000
0.500 0.000 0.000
0.000 0.000 0.000
0.500 0.500 0.500


PBEsol Mg2ZnCo, optimized geometry; DOS at the Fermi energy = 1.44 states/eV/cell; formation enthalpy at 0 K = 2 kJ per mole of atoms; energy = -0.116 hartree per atom
1.0
3.058 0.000 0.000
0.000 4.395 0.000
-1.529 -2.198 4.517
Co Mg Zn
1 2 1
direct
0.236 0.736 0.472
0.759 0.259 0.519
0.974 0.974 0.947
0.531 0.531 0.062


PBEsol Mg2ZnCo, optimized geometry; DOS at the Fermi energy = 1.90 states/eV/cell; formation enthalpy at 0 K = 3 kJ per mole of atoms; energy = -0.116 hartree per atom
1.0
-1.573 2.065 1.531
-2.348 -1.885 0.131
2.421 -2.600 5.995
Co Mg Zn
1 2 1
direct
0.500 0.500 0.718
0.500 0.500 0.287
0.000 0.000 0.944
0.000 0.000 0.551